*one*
Density functional theory data (PBE) for a relaxed structure of BaAsBr.

POSCAR file:
```
BaAsBr
1.0
8.9272 0.0000 0.0453
0.0000 4.4812 0.0000
-2.7737 0.0000 11.2406
Br As Ba
4 4 4
direct
0.0581 0.5000 0.4470 Br
0.3608 0.5000 0.7793 Br
0.0581 0.0000 0.9470 Br
0.3608 0.0000 0.2793 Br
0.7112 0.5000 0.1353 As
0.7112 0.0000 0.6353 As
0.6314 0.0000 0.0436 As
0.6314 0.5000 0.5436 As
0.7607 0.5000 0.8541 Ba
0.3223 0.5000 0.0651 Ba
0.7607 0.0000 0.3541 Ba
0.3223 0.0000 0.5651 Ba
```



*two*
Density functional theory data (PBE) for a relaxed structure of BaAsBr.

POSCAR file:
```
BaAsBr
1.0
-1.4916 4.0385 1.4781
-3.2691 -1.8751 1.8242
5.4936 -1.4836 8.3199
Ba Br As
2 2 2
direct
0.7266 0.7500 0.7597 Ba
0.2734 0.2500 0.2403 Ba
0.2381 0.2500 0.8808 Br
0.7619 0.7500 0.1192 Br
0.8235 0.2500 0.4918 As
0.1765 0.7500 0.5082 As
```



Name the least stable of them. *one*.



*one*
Density functional theory data (PBE) for a relaxed structure of BaAsBr.

POSCAR file:
```
BaAsBr
1.0
-2.1653 -1.0166 -5.0147
3.3460 -0.7227 -4.3761
0.5335 -5.0350 -2.2875
Br Ba As
1 1 1
direct
0.0000 0.0000 0.0000 Br
0.7500 0.7500 0.7500 Ba
0.5000 0.5000 0.5000 As
```



*two*
Density functional theory data (PBE) for a relaxed structure of BaAsBr.

POSCAR file:
```
BaAsBr
1.0
4.6054 0.0000 0.0003
0.0000 4.5325 0.0000
-0.0322 0.0000 21.2421
As Br Ba
4 4 4
direct
0.7803 0.5000 0.8707 As
0.7801 0.5000 0.4239 As
0.7803 0.0000 0.3707 As
0.7801 0.0000 0.9239 As
0.2782 0.0000 0.0985 Br
0.7791 0.0000 0.7184 Br
0.7791 0.5000 0.2184 Br
0.2782 0.5000 0.5985 Br
0.2794 0.5000 0.7525 Ba
0.2809 0.0000 0.4902 Ba
0.2794 0.0000 0.2525 Ba
0.2809 0.5000 0.9902 Ba
```



*three*
Density functional theory data (PBE) for a relaxed structure of BaAsBr.

POSCAR file:
```
BaAsBr
1.0
4.9147 0.0000 0.0000
-2.4574 4.2563 0.0000
0.0000 0.0000 6.8168
Ba Br As
1 1 1
direct
0.3333 0.6667 0.3453 Ba
0.6667 0.3333 0.5767 Br
0.0000 0.0000 0.0780 As
```



Name the least stable of them. *three*.



*one*
Density functional theory data (PBE) for a relaxed structure of BaAsBr3.

POSCAR file:
```
BaAsBr3
1.0
5.5734 0.0000 0.0000
0.0000 5.5734 0.0000
0.0000 0.0000 5.5734
Br As Ba
3 1 1
direct
0.0000 0.5000 0.0000 Br
0.0000 0.0000 0.5000 Br
0.5000 0.0000 0.0000 Br
0.0000 0.0000 0.0000 As
0.5000 0.5000 0.5000 Ba
```



*two*
Density functional theory data (PBE) for a relaxed structure of BaAsBr3.

POSCAR file:
```
BaAsBr3
1.0
-2.2059 -4.3965 3.9783
5.8691 -2.2222 0.7984
0.8426 3.9692 4.8536
As Br Ba
1 3 1
direct
0.5000 0.5000 0.5000 As
0.5000 0.0000 0.0000 Br
0.0000 0.0000 0.5000 Br
0.0000 0.5000 0.0000 Br
0.0000 0.0000 0.0000 Ba
```



Name the least stable of them. *two*.



*one*
Density functional theory data (PBE) for a relaxed structure of Ba4As2Br5.

POSCAR file:
```
Ba4As2Br5
1.0
-2.6668 4.2637 0.9211
-7.1504 -2.8202 -7.6523
-1.7309 -5.9357 8.2611
Br Ba As
5 4 2
direct
0.8327 0.6108 0.6656 Br
0.8292 0.2080 0.6593 Br
0.1673 0.3892 0.3344 Br
0.5000 0.0000 0.0000 Br
0.1708 0.7920 0.3407 Br
0.3374 0.4036 0.6754 Ba
0.9936 0.2160 0.9873 Ba
0.6626 0.5964 0.3246 Ba
0.0064 0.7840 0.0127 Ba
0.4976 0.6068 0.9951 As
0.5024 0.3932 0.0049 As
```



*two*
Density functional theory data (PBE) for a relaxed structure of Ba4As2Br5.

POSCAR file:
```
Ba4As2Br5
1.0
4.7862 0.0000 0.0000
0.0000 8.8833 -0.7032
-2.3931 -3.6280 10.7453
As Br Ba
2 5 4
direct
0.5563 0.5558 0.1126 As
0.4437 0.4442 0.8874 As
0.1729 0.4217 0.3457 Br
0.5000 0.0000 0.0000 Br
0.8271 0.5783 0.6543 Br
0.1730 0.9236 0.3460 Br
0.8270 0.0764 0.6540 Br
0.0004 0.7331 0.0007 Ba
0.7079 0.7076 0.4158 Ba
0.2921 0.2924 0.5842 Ba
0.9996 0.2669 0.9993 Ba
```



Name the least stable of them. *one*.